[1]
A plane-wave DFT calculation with PBE was carried out for Mg3MnHg after structural relaxation.

```
Mg3MnHg
1.0
5.1809 0.0000 0.0000
0.0000 5.1809 0.0000
0.0000 0.0000 5.1809
Mg Mn Hg
3 1 1
direct
0.0000 0.0000 0.5000
0.0000 0.5000 0.0000
0.5000 0.0000 0.0000
0.5000 0.5000 0.5000
0.0000 0.0000 0.0000
```

Results
- formation enthalpy at 0 K (meV per atom) = 548
- excess energy over the best structure of this formula in the dataset (meV per atom) = 0
- total moment (Bohr magnetons per cell) = 4.7

[2]
A plane-wave DFT calculation with PBE was carried out for Mg2MnHg after structural relaxation.

```
Mg2MnHg
1.0
6.7141 0.0000 0.0000
0.0000 6.7141 0.0000
0.0000 0.0000 6.7141
Mg Mn Hg
8 4 4
direct
0.0000 0.0000 0.0000
0.0000 0.5000 0.5000
0.2500 0.2500 0.2500
0.2500 0.7500 0.7500
0.5000 0.0000 0.5000
0.5000 0.5000 0.0000
0.7500 0.2500 0.7500
0.7500 0.7500 0.2500
0.2500 0.2500 0.7500
0.2500 0.7500 0.2500
0.7500 0.2500 0.2500
0.7500 0.7500 0.7500
0.0000 0.0000 0.5000
0.0000 0.5000 0.0000
0.5000 0.0000 0.0000
0.5000 0.5000 0.5000
```

Results
- formation enthalpy at 0 K (meV per atom) = 82
- excess energy over the best structure of this formula in the dataset (meV per atom) = 31
- total moment (Bohr magnetons per cell) = 15.0

[3]
A plane-wave DFT calculation with PBE was carried out for MgMn2Hg after structural relaxation.

```
MgMn2Hg
1.0
6.5489 0.0000 0.0000
0.0000 6.5489 0.0000
0.0000 0.0000 6.5489
Mg Mn Hg
4 8 4
direct
0.0000 0.0000 0.0000
0.0000 0.5000 0.5000
0.5000 0.0000 0.5000
0.5000 0.5000 0.0000
0.0000 0.0000 0.5000
0.0000 0.5000 0.0000
0.2500 0.2500 0.7500
0.2500 0.7500 0.2500
0.5000 0.0000 0.0000
0.5000 0.5000 0.5000
0.7500 0.2500 0.2500
0.7500 0.7500 0.7500
0.2500 0.2500 0.2500
0.2500 0.7500 0.7500
0.7500 0.2500 0.7500
0.7500 0.7500 0.2500
```

Results
- formation enthalpy at 0 K (meV per atom) = 329
- excess energy over the best structure of this formula in the dataset (meV per atom) = 181
- total moment (Bohr magnetons per cell) = 29.9

- The lowest formation enthalpy at 0 K belongs to which entry?
  Mg2MnHg